# 1
DFT (PBE-GGA) results for a relaxed La8TbEr6 crystal.

POSCAR file:
```
La8TbEr6
1.0
9.4286 0.0000 0.0000
-4.7143 8.1654 0.0000
0.0000 0.0000 6.6717
La Tb Er
8 1 6
direct
0.0454 0.7516 0.1681
0.2484 0.2938 0.1681
0.2938 0.0454 0.8319
0.3333 0.6667 0.1192
0.6667 0.3333 0.8808
0.7062 0.9546 0.1681
0.7516 0.7062 0.8319
0.9546 0.2484 0.8319
0.0000 0.0000 0.5000
0.0991 0.6613 0.6513
0.3387 0.4378 0.6513
0.4378 0.0991 0.3487
0.5622 0.9009 0.6513
0.6613 0.5622 0.3487
0.9009 0.3387 0.3487
```

## Properties
For the calculated volume, the calculation gives 34.2 A^3/atom. As for the formation energy: 2.51 eV/f.u. The density comes out at 7.35 g cm⁻³. The spin magnetization comes out at 0.0 μB/cell.

=====

# 2
DFT (PBE-GGA) results for a relaxed LaTb3Er12 crystal.

POSCAR file:
```
LaTb3Er12
1.0
4.9942 0.0000 0.0000
0.0000 4.9942 0.0000
0.0000 0.0000 20.0158
La Tb Er
1 3 12
direct
0.0000 0.0000 0.0000
0.0000 0.0000 0.2512
0.0000 0.0000 0.5000
0.0000 0.0000 0.7488
0.0000 0.5000 0.1281
0.0000 0.5000 0.3759
0.0000 0.5000 0.6241
0.0000 0.5000 0.8719
0.5000 0.0000 0.1281
0.5000 0.0000 0.3759
0.5000 0.0000 0.6241
0.5000 0.0000 0.8719
0.5000 0.5000 0.0000
0.5000 0.5000 0.2523
0.5000 0.5000 0.5000
0.5000 0.5000 0.7477
```

## Properties
For the calculated volume, the calculation gives 31.2 A^3/atom. As for the formation energy: 0.41 eV/f.u. The density comes out at 8.72 g cm⁻³. The spin magnetization comes out at 0.0 μB/cell.

=====

# 3
DFT (PBE-GGA) results for a relaxed La8Tb5Er crystal.

POSCAR file:
```
La8Tb5Er
1.0
-4.9305 4.9305 5.1667
4.9305 -4.9305 5.1667
4.9305 4.9305 -5.1667
La Tb Er
8 5 1
direct
0.0829 0.6798 0.7699
0.1720 0.2735 0.7642
0.3202 0.0902 0.4031
0.5093 0.4078 0.2358
0.5922 0.8280 0.1014
0.6871 0.9171 0.5969
0.7265 0.4907 0.8986
0.9098 0.3129 0.2301
0.2192 0.6210 0.1935
0.3790 0.5725 0.5982
0.4275 0.0258 0.8065
0.7500 0.2500 0.5000
0.9742 0.7808 0.4018
0.0000 0.0000 0.0000
```

## Properties
For the calculated volume, the calculation gives 35.9 A^3/atom. As for the formation energy: 3.44 eV/f.u. The density comes out at 6.85 g cm⁻³. The spin magnetization comes out at 0.0 μB/cell.